The following is a PBE calculation of an optimized crystal structure of ZnP3H, from Alexandria.

Calculated values
**Energy above the lowest structure with this stoichiometry**: 0.7077 eV/atom

Structure (CIF):
```
data_ZnP3H
_chemical_formula_sum 'Zn1 P3 H1'
_symmetry_space_group_name_H-M 'P 1'
_symmetry_Int_Tables_number 1
_cell_length_a 4.652
_cell_length_b 4.652
_cell_length_c 4.652
_cell_angle_alpha 90.00
_cell_angle_beta 90.00
_cell_angle_gamma 90.00
loop_
_symmetry_equiv_pos_as_xyz
'x,y,z'
loop_
_atom_site_label
_atom_site_type_symbol
_atom_site_fract_x
_atom_site_fract_y
_atom_site_fract_z
P1 P 0.000 0.500 0.000
P2 P 0.000 0.000 0.500
P3 P 0.500 0.000 0.000
Zn1 Zn 0.000 0.000 0.000
H1 H 0.500 0.500 0.500
```